[1]
NaNdSnBi | the Alexandria database | PBE | relaxed; raw total energy = -15.47 eV per cell; V = 118.3 Å³/f.u.; crystal system = cubic; calculated formation energy = -0.376 eV per atom; space-group type = F-43m, No. 216
1.0
0.0000 3.8965 3.8965
3.8965 0.0000 3.8965
3.8965 3.8965 0.0000
Na Nd Sn Bi
1 1 1 1
Cartesian
0.0000 0.0000 0.0000 Na
3.8965 3.8965 3.8965 Nd
1.9482 1.9482 1.9482 Sn
5.8447 5.8447 5.8447 Bi

[2]
Ba2SrAu2 | the Alexandria database | PBE | relaxed; energy above the lowest structure with this stoichiometry = 0.2193 eV per atom; raw total energy = -28.18 eV per cell; V = 175.6 Å³/f.u.; crystal system = tetragonal; calculated formation energy = -0.402 eV per atom; space-group type = P4/mbm, No. 127
1.0
9.4979 0.0000 0.0000
0.0000 9.4979 0.0000
0.0000 0.0000 3.8934
Ba Sr Au
4 2 4
Cartesian
1.2828 3.4661 0.0000 Ba
3.4661 8.2151 0.0000 Ba
6.0318 1.2828 0.0000 Ba
8.2151 6.0318 0.0000 Ba
0.0000 0.0000 0.0000 Sr
4.7490 4.7490 0.0000 Sr
1.5582 6.3072 1.9467 Au
3.1907 1.5582 1.9467 Au
6.3072 7.9397 1.9467 Au
7.9397 3.1907 1.9467 Au

[3]
ScCoBr2 | the Alexandria database | PBE | relaxed; energy above the lowest structure with this stoichiometry = 0.8523 eV per atom; raw total energy = -16.02 eV per cell; V = 83.5 Å³/f.u.; formation energy without anion corrections = 191 meV/atom; crystal system = cubic; space-group type = F-43m, No. 216
1.0
0.0000 3.4690 3.4690
3.4690 0.0000 3.4690
3.4690 3.4690 0.0000
Sc Co Br
1 1 2
Cartesian
0.0000 0.0000 0.0000 Sc
5.2035 5.2035 5.2035 Co
1.7345 1.7345 1.7345 Br
3.4690 3.4690 3.4690 Br

[4]
SrZrTa2 | the Alexandria database | PBE | relaxed; energy above the lowest structure with this stoichiometry = 0.6220 eV per atom; raw total energy = -29.79 eV per cell; V = 91.9 Å³/f.u.; crystal system = cubic; calculated formation energy = 1.035 eV per atom; space-group type = Fm-3m, No. 225
1.0
0.0000 3.5817 3.5817
3.5817 0.0000 3.5817
3.5817 3.5817 0.0000
Sr Zr Ta
1 1 2
Cartesian
0.0000 0.0000 0.0000 Sr
3.5817 3.5817 3.5817 Zr
1.7909 1.7909 1.7909 Ta
5.3726 5.3726 5.3726 Ta

[5]
AcTlGaHg | the Alexandria database | PBE | relaxed; raw total energy = -11.03 eV per cell; V = 113.0 Å³/f.u.; crystal system = cubic; calculated formation energy = -0.308 eV per atom; space-group type = F-43m, No. 216
1.0
0.0000 3.8373 3.8373
3.8373 0.0000 3.8373
3.8373 3.8373 0.0000
Ac Tl Ga Hg
1 1 1 1
Cartesian
0.0000 0.0000 0.0000 Ac
3.8373 3.8373 3.8373 Tl
5.7559 5.7559 5.7559 Ga
1.9186 1.9186 1.9186 Hg

[6]
TcAs2BrCl | the Alexandria database | PBE | relaxed; energy above the lowest structure with this stoichiometry = 1.1215 eV per atom; raw total energy = -16.22 eV per cell; V = 137.0 Å³/f.u.; formation energy without anion corrections = 1394 meV/atom; crystal system = tetragonal; space-group type = P4/mmm, No. 123
1.0
4.7154 0.0000 0.0000
0.0000 4.7154 0.0000
0.0000 0.0000 6.1599
Tc As Br Cl
1 2 1 1
Cartesian
0.0000 0.0000 0.0000 Tc
0.0000 2.3577 3.0799 As
2.3577 0.0000 3.0799 As
2.3577 2.3577 0.0000 Br
2.3577 2.3577 3.0799 Cl

[7]
PmMgH5 | the Alexandria database | PBE | relaxed; raw total energy = -51.22 eV per cell; V = 67.7 Å³/f.u.; crystal system = monoclinic; space-group type = C2/c, No. 15
1.0
2.0191 -6.9388 0.0000
2.0191 6.9388 0.0000
-0.2786 0.0000 4.8340
Pm Mg H
2 2 10
Cartesian
1.8101 4.5905 3.6255 Pm
1.9494 -4.5905 1.2085 Pm
1.8101 0.9518 3.6255 Mg
1.9494 -0.9518 1.2085 Mg
1.9494 5.0618 1.2085 H
0.9337 0.5404 1.9267 H
1.9645 2.6503 0.0402 H
0.7944 -0.5404 4.3437 H
1.9344 2.6503 2.3768 H
1.8251 -2.6503 2.4572 H
2.9651 0.5404 0.4903 H
1.7951 -2.6503 4.7938 H
2.8258 -0.5404 2.9073 H
1.8101 -5.0618 3.6255 H

[8]
Er2Tl3CdS6 | the Alexandria database | PBE | relaxed; raw total energy = -54.71 eV per cell; V = 302.4 Å³/f.u.; formation energy without anion corrections = -1068 meV/atom; crystal system = monoclinic; space-group type = C2/m, No. 12
1.0
3.4696 -6.0170 0.0000
3.4696 6.0170 0.0000
-2.3270 0.0000 7.2430
Er Tl Cd S
2 3 1 6
Cartesian
3.4696 4.0063 0.0000 Er
3.4696 -4.0063 0.0000 Er
-1.1635 0.0000 3.6215 Tl
2.3061 2.0049 3.6215 Tl
2.3061 -2.0049 3.6215 Tl
3.4696 0.0000 0.0000 Cd
-0.0354 2.0461 5.7556 S
1.1163 0.0000 1.4793 S
-0.0354 -2.0461 5.7556 S
4.6477 2.0461 1.4874 S
3.4959 0.0000 5.7637 S
4.6477 -2.0461 1.4874 S

[9]
Au2SI | the Alexandria database | PBE | relaxed; energy above the lowest structure with this stoichiometry = 0.6749 eV per atom; raw total energy = -9.15 eV per cell; V = 87.7 Å³/f.u.; formation energy without anion corrections = 771 meV/atom; crystal system = cubic; space-group type = Fm-3m, No. 225
1.0
0.0000 3.5261 3.5261
3.5261 0.0000 3.5261
3.5261 3.5261 0.0000
Au S I
2 1 1
Cartesian
1.7630 1.7630 1.7630 Au
5.2891 5.2891 5.2891 Au
0.0000 0.0000 0.0000 S
3.5261 3.5261 3.5261 I

[10]
NdDyPb | the Alexandria database | PBE | relaxed; energy above the lowest structure with this stoichiometry = 0.2249 eV per atom; raw total energy = -13.75 eV per cell; V = 95.2 Å³/f.u.; crystal system = trigonal; calculated formation energy = -0.226 eV per atom; space-group type = P3m1, No. 156
1.0
5.2622 0.0000 0.0000
-2.6311 4.5572 0.0000
0.0000 0.0000 3.9712
Nd Dy Pb
1 1 1
Cartesian
0.0000 0.0000 0.0000 Nd
2.6311 1.5191 1.8258 Dy
0.0000 3.0381 2.4936 Pb